VASP calculation (PBE) on As2OsSeBr after structural relaxation.

a = 4.833 Å, b = 4.833 Å, c = 4.995 Å
α = 90.00°, β = 90.00°, γ = 90.00°
Fractional coordinates of all 5 atoms:
As1 0.000 0.500 0.000
As2 0.500 0.000 0.000
Os1 0.000 0.000 0.000
Se1 0.000 0.000 0.500
Br1 0.500 0.500 0.500

uncorrected formation energy	0.562	eV per atom
space group	P4/mmm, No. 123
total magnetic moment	0.00	μB/cell
V	23.33	Å³ per atom
total DFT energy (no corrections)	-22.88	eV/f.u.
energy above the lowest structure with this stoichiometry	0.00	kJ/mol of atoms

=====

VASP calculation (PBE) on As2OsSeBr after structural relaxation.

a = 4.775 Å, b = 4.775 Å, c = 5.119 Å
α = 90.00°, β = 90.00°, γ = 90.00°
Fractional coordinates of all 5 atoms:
As1 0.000 0.500 0.000
As2 0.500 0.000 0.000
Os1 0.000 0.000 0.000
Se1 0.500 0.500 0.500
Br1 0.000 0.000 0.500

uncorrected formation energy	0.652	eV per atom
space group	P4/mmm, No. 123
total magnetic moment	0.00	μB/cell
V	23.35	Å³ per atom
total DFT energy (no corrections)	-22.42	eV/f.u.
energy above the lowest structure with this stoichiometry	8.71	kJ/mol of atoms

=====

VASP calculation (PBE) on As2OsSeBr after structural relaxation.

a = 4.866 Å, b = 4.866 Å, c = 4.953 Å
α = 90.00°, β = 90.00°, γ = 90.00°
Fractional coordinates of all 5 atoms:
As1 0.000 0.500 0.000
As2 0.500 0.000 0.000
Os1 0.000 0.000 0.500
Se1 0.500 0.500 0.500
Br1 0.500 0.500 0.000

uncorrected formation energy	2.080	eV per atom
space group	P4/mmm, No. 123
total magnetic moment	0.00	μB/cell
V	23.46	Å³ per atom
total DFT energy (no corrections)	-15.29	eV/f.u.
energy above the lowest structure with this stoichiometry	146.41	kJ/mol of atoms

=====

VASP calculation (PBE) on SiAs2OsBr after structural relaxation.

a = 4.712 Å, b = 4.712 Å, c = 5.396 Å
α = 90.00°, β = 90.00°, γ = 90.00°
Fractional coordinates of all 5 atoms:
Si1 0.000 0.000 0.000
As1 0.000 0.500 0.500
As2 0.500 0.000 0.500
Os1 0.500 0.500 0.500
Br1 0.500 0.500 0.000

uncorrected formation energy	0.888	eV per atom
space group	P4/mmm, No. 123
total magnetic moment	0.00	μB/cell
V	23.96	Å³ per atom
total DFT energy (no corrections)	-23.19	eV/f.u.
energy above the lowest structure with this stoichiometry	0.00	kJ/mol of atoms

=====

What did the first record say?
VASP calculation (PBE) on As2OsSeBr after structural relaxation.

a = 4.833 Å, b = 4.833 Å, c = 4.995 Å
α = 90.00°, β = 90.00°, γ = 90.00°
Fractional coordinates of all 5 atoms:
As1 0.000 0.500 0.000
As2 0.500 0.000 0.000
Os1 0.000 0.000 0.000
Se1 0.000 0.000 0.500
Br1 0.500 0.500 0.500

uncorrected formation energy	0.562	eV per atom
space group	P4/mmm, No. 123
total magnetic moment	0.00	μB/cell
V	23.33	Å³ per atom
total DFT energy (no corrections)	-22.88	eV/f.u.
energy above the lowest structure with this stoichiometry	0.00	kJ/mol of atoms

=====

What is the formula in the second record?
As2OsSeBr

=====

Which formula does entry 3 have?
As2OsSeBr

=====

The lowest V belongs to which entry?
number 1